[1]
Entry from the Open Quantum Materials Database: a relaxed LiNd5Se6 crystal (PBE-GGA).

Results
DFT total energy ... -5.69 eV/atom
SG ... C2/m, No. 12

Geometry as CIF:
```
data_LiNd5Se6
_chemical_formula_sum 'Li1 Nd5 Se6'
_cell_length_a 7.261
_cell_length_b 7.261
_cell_length_c 7.270
_cell_angle_alpha 99.63
_cell_angle_beta 99.63
_cell_angle_gamma 120.07
_symmetry_space_group_name_H-M 'P 1'
_symmetry_Int_Tables_number 1
loop_
_symmetry_equiv_pos_as_xyz
'x,y,z'
loop_
_atom_site_label
_atom_site_type_symbol
_atom_site_fract_x
_atom_site_fract_y
_atom_site_fract_z
Li1 Li 0.000 0.000 0.000
Nd1 Nd 0.168 0.832 0.500
Nd2 Nd 0.335 0.665 0.000
Nd3 Nd 0.500 0.500 0.500
Nd4 Nd 0.665 0.335 0.000
Nd5 Nd 0.832 0.168 0.500
Se1 Se 0.080 0.402 0.242
Se2 Se 0.239 0.239 0.758
Se3 Se 0.402 0.080 0.242
Se4 Se 0.598 0.920 0.758
Se5 Se 0.761 0.761 0.242
Se6 Se 0.920 0.598 0.758
```



[2]
Entry from the Open Quantum Materials Database: a relaxed SrLiNdSe3 crystal (PBE-GGA).

Results
DFT total energy ... -4.92 eV/atom
SG ... Pnma, No. 62

Geometry as CIF:
```
data_SrLiNdSe3
_chemical_formula_sum 'Sr4 Li4 Nd4 Se12'
_cell_length_a 11.134
_cell_length_b 4.245
_cell_length_c 13.577
_cell_angle_alpha 90.00
_cell_angle_beta 90.00
_cell_angle_gamma 90.00
_symmetry_space_group_name_H-M 'P 1'
_symmetry_Int_Tables_number 1
loop_
_symmetry_equiv_pos_as_xyz
'x,y,z'
loop_
_atom_site_label
_atom_site_type_symbol
_atom_site_fract_x
_atom_site_fract_y
_atom_site_fract_z
Sr1 Sr 0.210 0.250 0.001
Sr2 Sr 0.290 0.750 0.501
Sr3 Sr 0.710 0.250 0.499
Sr4 Sr 0.790 0.750 0.999
Li1 Li 0.231 0.750 0.229
Li2 Li 0.269 0.250 0.729
Li3 Li 0.731 0.750 0.271
Li4 Li 0.769 0.250 0.771
Nd1 Nd 0.019 0.750 0.733
Nd2 Nd 0.481 0.250 0.233
Nd3 Nd 0.519 0.750 0.767
Nd4 Nd 0.981 0.250 0.267
Se1 Se 0.046 0.750 0.120
Se2 Se 0.104 0.250 0.602
Se3 Se 0.238 0.250 0.332
Se4 Se 0.262 0.750 0.832
Se5 Se 0.396 0.750 0.102
Se6 Se 0.454 0.250 0.620
Se7 Se 0.546 0.750 0.380
Se8 Se 0.604 0.250 0.898
Se9 Se 0.738 0.250 0.168
Se10 Se 0.762 0.750 0.668
Se11 Se 0.896 0.750 0.398
Se12 Se 0.954 0.250 0.880
```



[3]
Entry from the Open Quantum Materials Database: a relaxed SrLiNdSe3 crystal (PBE-GGA).

Results
DFT total energy ... -4.92 eV/atom
SG ... Cmcm, No. 63

Geometry as CIF:
```
data_SrLiNdSe3
_chemical_formula_sum 'Sr2 Li2 Nd2 Se6'
_cell_length_a 7.150
_cell_length_b 7.150
_cell_length_c 11.070
_cell_angle_alpha 90.00
_cell_angle_beta 90.00
_cell_angle_gamma 145.53
_symmetry_space_group_name_H-M 'P 1'
_symmetry_Int_Tables_number 1
loop_
_symmetry_equiv_pos_as_xyz
'x,y,z'
loop_
_atom_site_label
_atom_site_type_symbol
_atom_site_fract_x
_atom_site_fract_y
_atom_site_fract_z
Sr1 Sr 0.248 0.752 0.750
Sr2 Sr 0.752 0.248 0.250
Li1 Li 0.476 0.524 0.250
Li2 Li 0.524 0.476 0.750
Nd1 Nd 0.000 0.000 0.000
Nd2 Nd 0.000 0.000 0.500
Se1 Se 0.081 0.919 0.250
Se2 Se 0.360 0.640 0.073
Se3 Se 0.360 0.640 0.427
Se4 Se 0.640 0.360 0.573
Se5 Se 0.640 0.360 0.927
Se6 Se 0.919 0.081 0.750
```



[4]
Entry from the Open Quantum Materials Database: a relaxed SrLiNdSe3 crystal (PBE-GGA).

Results
DFT total energy ... -4.93 eV/atom
SG ... C2/m, No. 12

Geometry as CIF:
```
data_SrLiNdSe3
_chemical_formula_sum 'Sr2 Li2 Nd2 Se6'
_cell_length_a 9.310
_cell_length_b 9.310
_cell_length_c 8.743
_cell_angle_alpha 104.05
_cell_angle_beta 104.05
_cell_angle_gamma 26.18
_symmetry_space_group_name_H-M 'P 1'
_symmetry_Int_Tables_number 1
loop_
_symmetry_equiv_pos_as_xyz
'x,y,z'
loop_
_atom_site_label
_atom_site_type_symbol
_atom_site_fract_x
_atom_site_fract_y
_atom_site_fract_z
Sr1 Sr 0.131 0.131 0.065
Sr2 Sr 0.869 0.869 0.935
Li1 Li 0.496 0.496 0.299
Li2 Li 0.504 0.504 0.701
Nd1 Nd 0.166 0.166 0.592
Nd2 Nd 0.834 0.834 0.408
Se1 Se 0.000 0.000 0.500
Se2 Se 0.324 0.324 0.173
Se3 Se 0.335 0.335 0.649
Se4 Se 0.500 0.500 0.000
Se5 Se 0.665 0.665 0.351
Se6 Se 0.676 0.676 0.827
```



[5]
Entry from the Open Quantum Materials Database: a relaxed LiNdZnSe3 crystal (PBE-GGA).

Results
DFT total energy ... -4.35 eV/atom
SG ... P2_1/m, No. 11

Geometry as CIF:
```
data_LiNdZnSe3
_chemical_formula_sum 'Li2 Nd2 Zn2 Se6'
_cell_length_a 7.917
_cell_length_b 4.093
_cell_length_c 10.043
_cell_angle_alpha 90.00
_cell_angle_beta 101.45
_cell_angle_gamma 90.00
_symmetry_space_group_name_H-M 'P 1'
_symmetry_Int_Tables_number 1
loop_
_symmetry_equiv_pos_as_xyz
'x,y,z'
loop_
_atom_site_label
_atom_site_type_symbol
_atom_site_fract_x
_atom_site_fract_y
_atom_site_fract_z
Li1 Li 0.169 0.250 0.124
Li2 Li 0.831 0.750 0.876
Nd1 Nd 0.333 0.750 0.842
Nd2 Nd 0.667 0.250 0.158
Zn1 Zn 0.076 0.250 0.603
Zn2 Zn 0.924 0.750 0.397
Se1 Se 0.063 0.250 0.848
Se2 Se 0.228 0.750 0.537
Se3 Se 0.401 0.750 0.145
Se4 Se 0.599 0.250 0.855
Se5 Se 0.772 0.250 0.463
Se6 Se 0.937 0.750 0.152
```



[6]
Entry from the Open Quantum Materials Database: a relaxed LiNdZnSe3 crystal (PBE-GGA).

Results
DFT total energy ... -4.32 eV/atom
SG ... Cmcm, No. 63

Geometry as CIF:
```
data_LiNdZnSe3
_chemical_formula_sum 'Li2 Nd2 Zn2 Se6'
_cell_length_a 6.831
_cell_length_b 6.831
_cell_length_c 11.237
_cell_angle_alpha 90.00
_cell_angle_beta 90.00
_cell_angle_gamma 145.45
_symmetry_space_group_name_H-M 'P 1'
_symmetry_Int_Tables_number 1
loop_
_symmetry_equiv_pos_as_xyz
'x,y,z'
loop_
_atom_site_label
_atom_site_type_symbol
_atom_site_fract_x
_atom_site_fract_y
_atom_site_fract_z
Li1 Li 0.222 0.778 0.750
Li2 Li 0.778 0.222 0.250
Nd1 Nd 0.000 0.000 0.000
Nd2 Nd 0.000 0.000 0.500
Zn1 Zn 0.475 0.525 0.250
Zn2 Zn 0.525 0.475 0.750
Se1 Se 0.091 0.909 0.250
Se2 Se 0.354 0.646 0.083
Se3 Se 0.354 0.646 0.417
Se4 Se 0.646 0.354 0.583
Se5 Se 0.646 0.354 0.917
Se6 Se 0.909 0.091 0.750
```



[7]
Entry from the Open Quantum Materials Database: a relaxed LiNdZnSe3 crystal (PBE-GGA).

Results
DFT total energy ... -4.34 eV/atom
SG ... Pnma, No. 62

Geometry as CIF:
```
data_LiNdZnSe3
_chemical_formula_sum 'Li4 Nd4 Zn4 Se12'
_cell_length_a 12.019
_cell_length_b 4.125
_cell_length_c 11.779
_cell_angle_alpha 90.00
_cell_angle_beta 90.00
_cell_angle_gamma 90.00
_symmetry_space_group_name_H-M 'P 1'
_symmetry_Int_Tables_number 1
loop_
_symmetry_equiv_pos_as_xyz
'x,y,z'
loop_
_atom_site_label
_atom_site_type_symbol
_atom_site_fract_x
_atom_site_fract_y
_atom_site_fract_z
Li1 Li 0.120 0.250 0.011
Li2 Li 0.380 0.750 0.511
Li3 Li 0.620 0.250 0.489
Li4 Li 0.880 0.750 0.989
Nd1 Nd 0.034 0.250 0.681
Nd2 Nd 0.466 0.750 0.181
Nd3 Nd 0.534 0.250 0.819
Nd4 Nd 0.966 0.750 0.319
Zn1 Zn 0.241 0.250 0.290
Zn2 Zn 0.259 0.750 0.790
Zn3 Zn 0.741 0.250 0.210
Zn4 Zn 0.759 0.750 0.710
Se1 Se 0.067 0.750 0.866
Se2 Se 0.097 0.250 0.432
Se3 Se 0.213 0.750 0.170
Se4 Se 0.287 0.250 0.670
Se5 Se 0.403 0.750 0.932
Se6 Se 0.433 0.250 0.366
Se7 Se 0.567 0.750 0.634
Se8 Se 0.597 0.250 0.068
Se9 Se 0.713 0.750 0.330
Se10 Se 0.787 0.250 0.830
Se11 Se 0.903 0.750 0.568
Se12 Se 0.933 0.250 0.134
```



[8]
Entry from the Open Quantum Materials Database: a relaxed LiNdZnSe3 crystal (PBE-GGA).

Results
DFT total energy ... -4.35 eV/atom
SG ... Pnma, No. 62

Geometry as CIF:
```
data_LiNdZnSe3
_chemical_formula_sum 'Li4 Nd4 Zn4 Se12'
_cell_length_a 13.795
_cell_length_b 4.093
_cell_length_c 11.436
_cell_angle_alpha 90.00
_cell_angle_beta 90.00
_cell_angle_gamma 90.00
_symmetry_space_group_name_H-M 'P 1'
_symmetry_Int_Tables_number 1
loop_
_symmetry_equiv_pos_as_xyz
'x,y,z'
loop_
_atom_site_label
_atom_site_type_symbol
_atom_site_fract_x
_atom_site_fract_y
_atom_site_fract_z
Li1 Li 0.212 0.250 0.190
Li2 Li 0.288 0.750 0.690
Li3 Li 0.712 0.250 0.310
Li4 Li 0.788 0.750 0.810
Nd1 Nd 0.042 0.750 0.847
Nd2 Nd 0.458 0.250 0.347
Nd3 Nd 0.542 0.750 0.653
Nd4 Nd 0.958 0.250 0.153
Zn1 Zn 0.028 0.250 0.598
Zn2 Zn 0.472 0.750 0.098
Zn3 Zn 0.528 0.250 0.902
Zn4 Zn 0.972 0.750 0.402
Se1 Se 0.079 0.250 0.383
Se2 Se 0.103 0.750 0.089
Se3 Se 0.165 0.250 0.738
Se4 Se 0.335 0.750 0.238
Se5 Se 0.397 0.250 0.589
Se6 Se 0.421 0.750 0.883
Se7 Se 0.579 0.250 0.117
Se8 Se 0.603 0.750 0.411
Se9 Se 0.665 0.250 0.762
Se10 Se 0.835 0.750 0.262
Se11 Se 0.897 0.250 0.911
Se12 Se 0.921 0.750 0.617
```



[9]
Entry from the Open Quantum Materials Database: a relaxed LiNdZnSe3 crystal (PBE-GGA).

Results
DFT total energy ... -4.32 eV/atom
SG ... Pnma, No. 62

Geometry as CIF:
```
data_LiNdZnSe3
_chemical_formula_sum 'Li4 Nd4 Zn4 Se12'
_cell_length_a 11.266
_cell_length_b 4.068
_cell_length_c 13.006
_cell_angle_alpha 90.00
_cell_angle_beta 90.00
_cell_angle_gamma 90.00
_symmetry_space_group_name_H-M 'P 1'
_symmetry_Int_Tables_number 1
loop_
_symmetry_equiv_pos_as_xyz
'x,y,z'
loop_
_atom_site_label
_atom_site_type_symbol
_atom_site_fract_x
_atom_site_fract_y
_atom_site_fract_z
Li1 Li 0.227 0.250 0.027
Li2 Li 0.273 0.750 0.527
Li3 Li 0.727 0.250 0.473
Li4 Li 0.773 0.750 0.973
Nd1 Nd 0.001 0.250 0.260
Nd2 Nd 0.499 0.750 0.760
Nd3 Nd 0.501 0.250 0.240
Nd4 Nd 0.999 0.750 0.740
Zn1 Zn 0.250 0.250 0.725
Zn2 Zn 0.250 0.750 0.225
Zn3 Zn 0.750 0.250 0.775
Zn4 Zn 0.750 0.750 0.275
Se1 Se 0.077 0.750 0.110
Se2 Se 0.088 0.250 0.598
Se3 Se 0.245 0.750 0.841
Se4 Se 0.255 0.250 0.341
Se5 Se 0.412 0.750 0.098
Se6 Se 0.423 0.250 0.610
Se7 Se 0.577 0.750 0.390
Se8 Se 0.588 0.250 0.902
Se9 Se 0.745 0.750 0.659
Se10 Se 0.755 0.250 0.159
Se11 Se 0.912 0.750 0.402
Se12 Se 0.923 0.250 0.890
```